No. 1
A relaxed Tm2Sb2O7 crystal. Source: the Alexandria database, functional GGA-PBE.

The space group is Ima2 (No. 46) and the conventional cell measures 10.679, 7.586 and 7.590 Å, with angles of 90.00, 90.00 and 90.00 degrees. The asymmetric unit holds Tm at (0.000, 0.000, 0.000), Tm at (0.250, 0.198, 0.243), Sb at (0.000, 0.000, 0.534), Sb at (0.250, 0.746, 0.738), O at (0.114, 0.571, 0.260), O at (0.117, 0.248, 0.510), O at (0.130, 0.548, 0.714) and O at (0.250, 0.691, 0.989).

Its total energy is -7.081 eV/atom. For the total magnetization, the calculation gives 0.0 μB per formula unit. The density of states at the Fermi level is 0.00 states/eV/atom.


No. 2
A relaxed Tm5Sb2O crystal. Source: the Alexandria database, functional GGA-PBE.

The space group is Cmcm (No. 63) and the conventional cell measures 3.957, 12.224 and 17.265 Å, with angles of 90.00, 90.00 and 90.00 degrees. The asymmetric unit holds Tm at (0.000, 0.057, 0.137), Tm at (0.000, 0.369, 0.028), Tm at (0.000, 0.377, 0.250), Sb at (0.000, 0.247, 0.633) and O at (0.000, 0.017, 0.750).

Its total energy is -5.675 eV/atom. For the total magnetization, the calculation gives 0.0 μB per formula unit. The density of states at the Fermi level is 0.67 states/eV/atom.


No. 3
A relaxed Tm6SbO12 crystal. Source: the Alexandria database, functional GGA-PBE.

The space group is R-3 (No. 148, hexagonal axes) and the conventional cell measures 9.7276, 9.7276 and 9.2027 Å, with angles of 90.00, 90.00 and 120.00 degrees. The asymmetric unit holds Tm at (0.0469, 0.2584, 0.1488), Sb at (0.0000, 0.0000, 0.5000), O at (0.0351, 0.2217, 0.8998) and O at (0.0404, 0.1957, 0.3884).

Its total energy is -7.949 eV/atom. For the total magnetization, the calculation gives 1.1 μB per formula unit. The density of states at the Fermi level is 0.37 states/eV/atom.